[1]
A geometry-optimized Ho4ErZn structure, computed with PBE.

POSCAR file:
```
Ho4ErZn
1.0
3.5253 0.0000 0.0000
0.0000 3.5253 0.0000
0.0000 0.0000 13.5875
Ho Er Zn
4 1 1
Direct
0.0000 0.0000 0.1310
0.0000 0.0000 0.8690
0.5000 0.5000 0.3178
0.5000 0.5000 0.6822
0.0000 0.0000 0.5000
0.5000 0.5000 0.0000
```

M_tot in μB per cell: 0.001
N(E_F) in states/eV per atom: 1.2655
VASP energy in eV/cell: -24.74
Energy of formation from the pure elements in meV per atom: -99

=====

[2]
A geometry-optimized HoEr3Zn structure, computed with PBE.

POSCAR file:
```
HoEr3Zn
1.0
5.6655 -4.1789 0.0000
5.6655 4.1789 0.0000
-4.3169 0.0000 6.2893
Ho Er Zn
2 6 2
Direct
0.0815 0.0815 0.2721
0.9185 0.9185 0.7279
0.0135 0.6098 0.2869
0.3902 0.9865 0.7131
0.4518 0.4518 0.6894
0.5482 0.5482 0.3106
0.6098 0.0135 0.2869
0.9865 0.3902 0.7131
0.2323 0.2323 0.0636
0.7677 0.7677 0.9364
```

M_tot in μB per cell: 0.000
N(E_F) in states/eV per atom: 1.5157
VASP energy in eV/cell: -38.49
Energy of formation from the pure elements in meV per atom: 59

=====

[3]
A geometry-optimized Ho2Er3Zn3 structure, computed with PBE.

POSCAR file:
```
Ho2Er3Zn3
1.0
-1.7863 2.5592 10.6350
1.7863 -2.5592 10.6350
1.7863 2.5592 -10.6350
Ho Er Zn
2 3 3
Direct
0.2286 0.2286 0.0000
0.7714 0.7714 0.0000
0.0000 0.0000 0.0000
0.3819 0.8819 0.5000
0.6181 0.1181 0.5000
0.1148 0.6148 0.5000
0.5000 0.5000 0.0000
0.8852 0.3852 0.5000
```

M_tot in μB per cell: 0.000
N(E_F) in states/eV per atom: 1.0877
VASP energy in eV/cell: -28.68
Energy of formation from the pure elements in meV per atom: -251

=====

[4]
A geometry-optimized Ho3ErZn8 structure, computed with PBE.

POSCAR file:
```
Ho3ErZn8
1.0
2.7249 1.5732 8.8498
-2.7249 1.5732 8.8498
0.0000 -3.1465 8.8498
Ho Er Zn
3 1 8
Direct
0.0000 0.0000 0.0000
0.1247 0.1247 0.1247
0.6247 0.6247 0.6247
0.5000 0.5000 0.5000
0.0623 0.0623 0.5620
0.0623 0.5620 0.0623
0.0627 0.5624 0.5624
0.3124 0.3124 0.3124
0.5620 0.0623 0.0623
0.5624 0.0627 0.5624
0.5624 0.5624 0.0627
0.8123 0.8123 0.8123
```

M_tot in μB per cell: 0.000
N(E_F) in states/eV per atom: 0.5550
VASP energy in eV/cell: -32.48
Energy of formation from the pure elements in meV per atom: -333

=====

[5]
A geometry-optimized Ho4ErZn4 structure, computed with PBE.

POSCAR file:
```
Ho4ErZn4
1.0
8.7149 0.0000 0.0000
0.0000 8.7149 0.0000
0.0000 0.0000 6.0699
Ho Er Zn
8 2 8
Direct
0.0363 0.6587 0.1474
0.1587 0.9637 0.6474
0.3413 0.5363 0.6474
0.4637 0.8413 0.1474
0.5363 0.1587 0.8526
0.6587 0.4637 0.3526
0.8413 0.0363 0.3526
0.9637 0.3413 0.8526
0.2500 0.2500 0.2500
0.7500 0.7500 0.7500
0.0260 0.6309 0.6188
0.1309 0.9740 0.1188
0.3691 0.5260 0.1188
0.4740 0.8691 0.6188
0.5260 0.1309 0.3812
0.6309 0.4740 0.8812
0.8691 0.0260 0.8812
0.9740 0.3691 0.3812
```

M_tot in μB per cell: 0.000
N(E_F) in states/eV per atom: 1.0849
VASP energy in eV/cell: -57.11
Energy of formation from the pure elements in meV per atom: -65

=====

[6]
A geometry-optimized Ho2Er2Zn3 structure, computed with PBE.

POSCAR file:
```
Ho2Er2Zn3
1.0
4.2945 -2.4890 0.0000
4.2945 2.4890 0.0000
-2.8504 0.0000 8.0217
Ho Er Zn
2 2 3
Direct
0.1274 0.1274 0.3813
0.8726 0.8726 0.6187
0.3784 0.3784 0.1352
0.6216 0.6216 0.8648
0.0000 0.0000 0.0000
0.2514 0.2514 0.7573
0.7486 0.7486 0.2427
```

M_tot in μB per cell: 0.000
N(E_F) in states/eV per atom: 1.2041
VASP energy in eV/cell: -23.50
Energy of formation from the pure elements in meV per atom: -199

=====

[7]
A geometry-optimized HoEr3Zn2 structure, computed with PBE.

POSCAR file:
```
HoEr3Zn2
1.0
3.5351 0.0000 0.0000
0.0000 3.5351 0.0000
0.0000 0.0000 12.0555
Ho Er Zn
1 3 2
Direct
0.0000 0.0000 0.0000
0.5000 0.5000 0.2089
0.5000 0.5000 0.5000
0.5000 0.5000 0.7911
0.0000 0.0000 0.3550
0.0000 0.0000 0.6450
```

M_tot in μB per cell: 0.000
N(E_F) in states/eV per atom: 1.0528
VASP energy in eV/cell: -22.17
Energy of formation from the pure elements in meV per atom: -226

=====

[8]
A geometry-optimized HoErZn structure, computed with PBE.

POSCAR file:
```
HoErZn
1.0
-2.4528 2.4528 3.4797
2.4528 -2.4528 3.4797
2.4528 2.4528 -3.4797
Ho Er Zn
1 1 1
Direct
0.0000 0.0000 0.0000
0.5000 0.5000 0.0000
0.7500 0.2500 0.5000
```

M_tot in μB per cell: 0.000
N(E_F) in states/eV per atom: 1.2675
VASP energy in eV/cell: -10.36
Energy of formation from the pure elements in meV per atom: 19

=====

[9]
A geometry-optimized Ho2ErZn structure, computed with PBE.

POSCAR file:
```
Ho2ErZn
1.0
3.5395 0.0000 0.0000
0.0000 3.5395 0.0000
0.0000 0.0000 8.5335
Ho Er Zn
2 1 1
Direct
0.0000 0.0000 0.2081
0.0000 0.0000 0.7919
0.5000 0.5000 0.5000
0.5000 0.5000 0.0000
```

M_tot in μB per cell: 0.000
N(E_F) in states/eV per atom: 1.0230
VASP energy in eV/cell: -15.63
Energy of formation from the pure elements in meV per atom: -160

=====

[10]
A geometry-optimized Ho2ErZn structure, computed with PBE.

POSCAR file:
```
Ho2ErZn
1.0
0.0000 3.7416 3.7416
3.7416 0.0000 3.7416
3.7416 3.7416 0.0000
Ho Er Zn
2 1 1
Direct
0.2500 0.2500 0.2500
0.7500 0.7500 0.7500
0.0000 0.0000 0.0000
0.5000 0.5000 0.5000
```

M_tot in μB per cell: 0.000
N(E_F) in states/eV per atom: 1.1208
VASP energy in eV/cell: -14.80
Energy of formation from the pure elements in meV per atom: 47

=====

[11]
A geometry-optimized HoEr2Zn structure, computed with PBE.

POSCAR file:
```
HoEr2Zn
1.0
1.7618 1.0172 10.2245
-1.7618 1.0172 10.2245
0.0000 -2.0343 10.2245
Ho Er Zn
1 2 1
Direct
0.0000 0.0000 0.0000
0.2396 0.2396 0.2396
0.7604 0.7604 0.7604
0.5000 0.5000 0.5000
```

M_tot in μB per cell: 0.000
N(E_F) in states/eV per atom: 0.9042
VASP energy in eV/cell: -15.24
Energy of formation from the pure elements in meV per atom: -65

=====

[12]
A geometry-optimized Ho3ErZn4 structure, computed with PBE.

POSCAR file:
```
Ho3ErZn4
1.0
5.0066 0.0000 0.0000
0.0000 5.0066 0.0000
0.0000 0.0000 7.1349
Ho Er Zn
3 1 4
Direct
0.0000 0.0000 0.0000
0.0000 0.0000 0.5000
0.5000 0.5000 0.0000
0.5000 0.5000 0.5000
0.0000 0.5000 0.2511
0.0000 0.5000 0.7489
0.5000 0.0000 0.2511
0.5000 0.0000 0.7489
```

M_tot in μB per cell: 0.000
N(E_F) in states/eV per atom: 1.1079
VASP energy in eV/cell: -26.16
Energy of formation from the pure elements in meV per atom: -346

=====

[13]
A geometry-optimized HoErZn3 structure, computed with PBE.

POSCAR file:
```
HoErZn3
1.0
1.7810 -13.3216 0.0000
1.7810 13.3216 0.0000
0.0000 0.0000 4.4574
Ho Er Zn
2 2 6
Direct
0.0731 0.9269 0.7500
0.9269 0.0731 0.2500
0.2095 0.7905 0.2500
0.7905 0.2095 0.7500
0.3282 0.6718 0.2500
0.3813 0.6187 0.7500
0.4768 0.5232 0.7500
0.5232 0.4768 0.2500
0.6187 0.3813 0.2500
0.6718 0.3282 0.7500
```

M_tot in μB per cell: 0.000
N(E_F) in states/eV per atom: 0.8894
VASP energy in eV/cell: -29.33
Energy of formation from the pure elements in meV per atom: -340

=====

[14]
A geometry-optimized Ho6ErZn2 structure, computed with PBE.

POSCAR file:
```
Ho6ErZn2
1.0
6.1830 -1.7971 0.0000
6.1830 1.7971 0.0000
-3.9142 0.0000 11.0075
Ho Er Zn
6 1 2
Direct
0.0246 0.0246 0.3278
0.3100 0.3100 0.1244
0.3152 0.3152 0.4118
0.6848 0.6848 0.5882
0.6900 0.6900 0.8756
0.9754 0.9754 0.6722
0.0000 0.0000 0.0000
0.3514 0.3514 0.7976
0.6486 0.6486 0.2024
```

M_tot in μB per cell: 0.000
N(E_F) in states/eV per atom: 1.1259
VASP energy in eV/cell: -35.88
Energy of formation from the pure elements in meV per atom: -145

=====

[15]
A geometry-optimized Ho2ErZn9 structure, computed with PBE.

POSCAR file:
```
Ho2ErZn9
1.0
2.7108 1.5651 8.5323
-2.7108 1.5651 8.5323
0.0000 -3.1302 8.5323
Ho Er Zn
2 1 9
Direct
0.1396 0.1396 0.1396
0.8604 0.8604 0.8604
0.0000 0.0000 0.0000
0.0765 0.5853 0.5853
0.3348 0.3348 0.3348
0.4147 0.4147 0.9235
0.4147 0.9235 0.4147
0.5000 0.5000 0.5000
0.5853 0.0765 0.5853
0.5853 0.5853 0.0765
0.6652 0.6652 0.6652
0.9235 0.4147 0.4147
```

M_tot in μB per cell: 0.000
N(E_F) in states/eV per atom: 0.5434
VASP energy in eV/cell: -28.88
Energy of formation from the pure elements in meV per atom: -308

=====

[16]
A geometry-optimized HoEr4Zn2 structure, computed with PBE.

POSCAR file:
```
HoEr4Zn2
1.0
2.4526 1.4160 9.7341
-2.4526 1.4160 9.7341
0.0000 -2.8320 9.7341
Ho Er Zn
1 4 2
Direct
0.0000 0.0000 0.0000
0.2019 0.2019 0.2019
0.3987 0.3987 0.3987
0.6013 0.6013 0.6013
0.7981 0.7981 0.7981
0.1000 0.1000 0.1000
0.9000 0.9000 0.9000
```

M_tot in μB per cell: 0.000
N(E_F) in states/eV per atom: 1.2500
VASP energy in eV/cell: -24.43
Energy of formation from the pure elements in meV per atom: 135

=====

[17]
A geometry-optimized HoEr2Zn structure, computed with PBE.

POSCAR file:
```
HoEr2Zn
1.0
1.7828 1.0293 10.1205
-1.7828 1.0293 10.1205
0.0000 -2.0586 10.1205
Ho Er Zn
1 2 1
Direct
0.0000 0.0000 0.0000
0.2394 0.2394 0.2394
0.4277 0.4277 0.4277
0.8340 0.8340 0.8340
```

M_tot in μB per cell: 0.603
N(E_F) in states/eV per atom: 1.2778
VASP energy in eV/cell: -15.23
Energy of formation from the pure elements in meV per atom: -63

=====

[18]
A geometry-optimized HoErZn structure, computed with PBE.

POSCAR file:
```
HoErZn
1.0
4.9670 0.0000 0.0000
-2.4835 4.3016 0.0000
0.0000 0.0000 3.5885
Ho Er Zn
1 1 1
Direct
0.0000 0.0000 0.0000
0.3333 0.6667 0.4642
0.6667 0.3333 0.7205
```

M_tot in μB per cell: 0.000
N(E_F) in states/eV per atom: 0.9707
VASP energy in eV/cell: -10.58
Energy of formation from the pure elements in meV per atom: -54

=====

[19]
A geometry-optimized Ho4Er3Zn structure, computed with PBE.

POSCAR file:
```
Ho4Er3Zn
1.0
3.5233 0.0000 0.0000
0.0000 3.5233 0.0000
0.0000 0.0000 18.5177
Ho Er Zn
4 3 1
Direct
0.0000 0.0000 0.0960
0.0000 0.0000 0.3654
0.0000 0.0000 0.6346
0.0000 0.0000 0.9040
0.5000 0.5000 0.2325
0.5000 0.5000 0.5000
0.5000 0.5000 0.7675
0.5000 0.5000 0.0000
```

M_tot in μB per cell: 0.000
N(E_F) in states/eV per atom: 1.2710
VASP energy in eV/cell: -33.82
Energy of formation from the pure elements in meV per atom: -68

=====

[20]
A geometry-optimized HoEr2Zn structure, computed with PBE.

POSCAR file:
```
HoEr2Zn
1.0
3.5274 0.0000 0.0000
0.0000 3.5274 0.0000
0.0000 0.0000 8.5495
Ho Er Zn
1 2 1
Direct
0.0000 0.0000 0.0000
0.5000 0.5000 0.2931
0.5000 0.5000 0.7069
0.0000 0.0000 0.5000
```

M_tot in μB per cell: 0.000
N(E_F) in states/eV per atom: 1.0329
VASP energy in eV/cell: -15.63
Energy of formation from the pure elements in meV per atom: -163